No. 1
# Na7CdSn3 | Alexandria | PBE | optimized geometry
# Raw total energy, eV for the cell shown: -22.9
# N(E_F), states/eV per cell: 4.2
# Magnetic moment, μB per atom: 0.00
data_Na7CdSn3
_chemical_formula_sum 'Na7 Cd1 Sn3'
_symmetry_space_group_name_H-M 'P 3 m 1'
_symmetry_Int_Tables_number 156
_symmetry_space_group_name_Hall 'P 3 -2"'
_cell_length_a 7.4825
_cell_length_b 7.4825
_cell_length_c 7.7462
_cell_angle_alpha 90.00
_cell_angle_beta 90.00
_cell_angle_gamma 120.00
loop_
_atom_site_label
_atom_site_type_symbol
_atom_site_fract_x
_atom_site_fract_y
_atom_site_fract_z
_atom_site_occupancy
Na1 Na 0.0000 0.0000 0.0000 1
Na2 Na 0.1665 0.3329 0.4992 1
Na3 Na 0.5067 0.0135 0.1028 1
Cd1 Cd 0.6667 0.3333 0.4241 1
Sn1 Sn 0.4021 0.2011 0.7655 1


No. 2
# Sm2TmAg | Alexandria | PBE | optimized geometry
# Excess energy over the best structure of this formula in the dataset, eV/atom: 0.112
# Raw total energy, eV for the cell shown: -50.3
# N(E_F), states/eV per cell: 14.7
# Magnetic moment, μB per atom: 0.00
data_Sm2TmAg
_chemical_formula_sum 'Sm6 Tm3 Ag3'
_symmetry_space_group_name_H-M 'R 3 m'
_symmetry_Int_Tables_number 160
_symmetry_space_group_name_Hall 'R 3 -2"'
_cell_length_a 3.6030
_cell_length_b 3.6030
_cell_length_c 31.5345
_cell_angle_alpha 90.00
_cell_angle_beta 90.00
_cell_angle_gamma 120.00
loop_
_atom_site_label
_atom_site_type_symbol
_atom_site_fract_x
_atom_site_fract_y
_atom_site_fract_z
_atom_site_occupancy
Sm1 Sm 0.0000 0.0000 0.0000 1
Sm2 Sm 0.0000 0.0000 0.1803 1
Tm1 Tm 0.0000 0.0000 0.7571 1
Ag1 Ag 0.0000 0.0000 0.5896 1


No. 3
# ErAs3Rh3 | Alexandria | PBE | optimized geometry
# Raw total energy, eV for the cell shown: -84.8
# N(E_F), states/eV per cell: 11.9
# Magnetic moment, μB per atom: 0.00
data_ErAs3Rh3
_chemical_formula_sum 'Er2 As6 Rh6'
_symmetry_space_group_name_H-M 'P m -3 n'
_symmetry_Int_Tables_number 223
_symmetry_space_group_name_Hall '-P 4n 2 3'
_cell_length_a 6.6799
_cell_length_b 6.6799
_cell_length_c 6.6799
_cell_angle_alpha 90.00
_cell_angle_beta 90.00
_cell_angle_gamma 90.00
loop_
_atom_site_label
_atom_site_type_symbol
_atom_site_fract_x
_atom_site_fract_y
_atom_site_fract_z
_atom_site_occupancy
Er1 Er 0.0000 0.0000 0.0000 1
As1 As 0.0000 0.2500 0.5000 1
Rh1 Rh 0.0000 0.5000 0.2500 1


No. 4
# Na2HRu | Alexandria | PBE | optimized geometry
# Excess energy over the best structure of this formula in the dataset, eV/atom: 0.000
# Raw total energy, eV for the cell shown: -52.4
# N(E_F), states/eV per cell: 12.0
# Magnetic moment, μB per atom: 0.28
data_Na2HRu
_chemical_formula_sum 'Na8 H4 Ru4'
_symmetry_space_group_name_H-M 'I -4 2 d'
_symmetry_Int_Tables_number 122
_symmetry_space_group_name_Hall 'I -4 2bw'
_cell_length_a 9.7854
_cell_length_b 9.7854
_cell_length_c 3.3897
_cell_angle_alpha 90.00
_cell_angle_beta 90.00
_cell_angle_gamma 90.00
loop_
_atom_site_label
_atom_site_type_symbol
_atom_site_fract_x
_atom_site_fract_y
_atom_site_fract_z
_atom_site_occupancy
Na1 Na 0.0845 0.2500 0.1250 1
H1 H 0.0000 0.0000 0.0000 1
Ru1 Ru 0.0000 0.0000 0.5000 1


No. 5
# Sm5TmSc2 | Alexandria | PBE | optimized geometry
# Excess energy over the best structure of this formula in the dataset, eV/atom: 0.081
# Raw total energy, eV for the cell shown: -158.9
# N(E_F), states/eV per cell: 40.3
# Magnetic moment, μB per atom: 0.01
data_Sm5TmSc2
_chemical_formula_sum 'Sm20 Tm4 Sc8'
_symmetry_space_group_name_H-M 'I 4/m c m'
_symmetry_Int_Tables_number 140
_symmetry_space_group_name_Hall '-I 4 2c'
_cell_length_a 8.9661
_cell_length_b 8.9661
_cell_length_c 12.4526
_cell_angle_alpha 90.00
_cell_angle_beta 90.00
_cell_angle_gamma 90.00
loop_
_atom_site_label
_atom_site_type_symbol
_atom_site_fract_x
_atom_site_fract_y
_atom_site_fract_z
_atom_site_occupancy
Sm1 Sm 0.0000 0.0000 0.0000 1
Sm2 Sm 0.1501 0.3499 0.1595 1
Tm1 Tm 0.0000 0.0000 0.2500 1
Sc1 Sc 0.1457 0.3543 0.5000 1


No. 6
# AgBO2F | Alexandria | PBE | optimized geometry
# Raw total energy, eV for the cell shown: -25.0
# N(E_F), states/eV per cell: 1.7
# Uncorrected formation energy, eV per atom: -0.73
# Magnetic moment, μB per atom: 0.04
data_AgBO2F
_chemical_formula_sum 'Ag1 B1 O2 F1'
_symmetry_space_group_name_H-M 'P 4/m m m'
_symmetry_Int_Tables_number 123
_symmetry_space_group_name_Hall '-P 4 2'
_cell_length_a 3.1290
_cell_length_b 3.1290
_cell_length_c 5.7221
_cell_angle_alpha 90.00
_cell_angle_beta 90.00
_cell_angle_gamma 90.00
loop_
_atom_site_label
_atom_site_type_symbol
_atom_site_fract_x
_atom_site_fract_y
_atom_site_fract_z
_atom_site_occupancy
Ag1 Ag 0.0000 0.0000 0.0000 1
B1 B 0.5000 0.5000 0.5000 1
O1 O 0.0000 0.5000 0.5000 1
F1 F 0.5000 0.5000 0.0000 1